Entry from Alexandria: an optimized crystal structure of FeSb3P4O16 (GGA+U).

As for the space group: Pm (6). The calculation puts the total energy at -163.330 eV per cell. The total moment is 0.208 μB per atom.

Unit cell a=6.623 b=5.062 c=10.081 alpha=81.61 beta=90.00 gamma=90.00
Atoms (fractional coordinates):
O 0.500 0.879 0.340
Fe 0.500 0.846 0.717
O 0.500 0.149 0.046
P 0.000 0.833 0.619
O 0.194 0.693 0.682
Sb 0.000 0.157 0.304
P 0.500 0.152 0.398
P 0.000 0.763 0.089
O 0.000 0.461 0.098
O 0.179 0.872 0.170
P 0.500 0.246 0.893
O 0.806 0.693 0.682
O 0.000 0.134 0.644
O 0.000 0.885 0.941
O 0.500 0.073 0.551
Sb 0.000 0.268 0.823
O 0.323 0.122 0.820
O 0.500 0.552 0.871
O 0.689 0.316 0.348
O 0.000 0.837 0.465
O 0.311 0.316 0.348
Sb 0.500 0.758 0.162
O 0.677 0.122 0.820
O 0.821 0.872 0.170